VASP calculation (PBE) on an optimized crystal structure of Tb2PrSmHo6.

a = 9.5642 Å, b = 8.7937 Å, c = 8.7937 Å
α = 117.74°, β = 93.73°, γ = 93.73°
Closest atoms and distances in Å follow each position.
Sites, in units of the cell vectors:
Tb (0.4540, 0.8043, 0.6995)  6 Ho 3.29-3.57, 2 Pr 3.37-3.41, 1 Sm 3.55
Tb (0.0460, 0.3005, 0.1957)  6 Ho 3.29-3.57, 2 Pr 3.37-3.41, 1 Sm 3.55
Tb (0.5460, 0.1957, 0.3005)  6 Ho 3.29-3.57, 2 Pr 3.37-3.41, 1 Sm 3.55
Tb (0.9540, 0.6995, 0.8043)  6 Ho 3.29-3.57, 2 Pr 3.37-3.41, 1 Sm 3.55
Pr (0.2500, 0.9742, 0.0258)  4 Tb 3.37-3.41, 4 Ho 3.58-3.70
Pr (0.7500, 0.0258, 0.9742)  4 Tb 3.37-3.41, 4 Ho 3.58-3.70
Sm (0.2500, 0.4085, 0.5915)  8 Ho 3.43-3.82, 2 Tb 3.55
Sm (0.7500, 0.5915, 0.4085)  8 Ho 3.43-3.82, 2 Tb 3.55
Ho (0.0576, 0.1217, 0.7481)  7 Ho 3.39-3.72, 1 Tb 3.51, 1 Pr 3.70
Ho (0.4424, 0.2519, 0.8783)  7 Ho 3.39-3.72, 1 Tb 3.51, 1 Pr 3.70
Ho (0.9424, 0.8783, 0.2519)  7 Ho 3.39-3.72, 1 Tb 3.51, 1 Pr 3.70
Ho (0.5576, 0.7481, 0.1217)  7 Ho 3.39-3.72, 1 Tb 3.51, 1 Pr 3.70
Ho (0.3183, 0.9782, 0.4323)  3 Ho 3.20-3.58, 2 Tb 3.41-3.57, 1 Sm 3.50, 1 Pr 3.58
Ho (0.1817, 0.5677, 0.0218)  3 Ho 3.20-3.58, 2 Tb 3.41-3.57, 1 Sm 3.50, 1 Pr 3.58
Ho (0.6817, 0.0218, 0.5677)  3 Ho 3.20-3.58, 2 Tb 3.41-3.57, 1 Sm 3.50, 1 Pr 3.58
Ho (0.8183, 0.4323, 0.9782)  3 Ho 3.20-3.58, 2 Tb 3.41-3.57, 1 Sm 3.50, 1 Pr 3.58
Ho (0.1183, 0.7074, 0.4900)  4 Ho 3.20-3.50, 3 Tb 3.29-3.44, 2 Sm 3.43-3.53
Ho (0.3817, 0.5100, 0.2926)  4 Ho 3.20-3.50, 3 Tb 3.29-3.44, 2 Sm 3.43-3.53
Ho (0.8817, 0.2926, 0.5100)  4 Ho 3.20-3.50, 3 Tb 3.29-3.44, 2 Sm 3.43-3.53
Ho (0.6183, 0.4900, 0.7074)  4 Ho 3.20-3.50, 3 Tb 3.29-3.44, 2 Sm 3.43-3.53

As for the formation energy from the elements: 118.5 kJ/mol of formula units. The value obtained for the calculated density is 8.18 g cm⁻³. The space-group type is C2/c (15). For the total magnetic moment, the calculation gives 0.00 μB per cell.


VASP calculation (PBE) on an optimized crystal structure of PmThHg2.

a = 3.6876 Å, b = 3.6876 Å, c = 10.2003 Å
α = 79.59°, β = 79.59°, γ = 60.00°
Closest atoms and distances in Å follow each position.
Sites, in units of the cell vectors:
Hg (0.2479, 0.2479, 0.2563)  3 Pm 3.23, 3 Th 3.33
Hg (0.7521, 0.7521, 0.7437)  3 Pm 3.23, 3 Th 3.33
Th (0.0000, 0.0000, 0.0000)  6 Hg 3.33, 6 Th 3.69
Pm (0.5000, 0.5000, 0.5000)  6 Hg 3.23

As for the formation energy from the elements: -78.4 kJ/mol of formula units. The value obtained for the calculated density is 11.00 g cm⁻³. The space-group type is R-3m (166). For the total magnetic moment, the calculation gives 0.00 μB per cell.


VASP calculation (PBE) on an optimized crystal structure of ScNb2InH.

a = 4.1539 Å, b = 4.1539 Å, c = 4.6772 Å
α = 90.00°, β = 90.00°, γ = 90.00°
Closest atoms and distances in Å follow each position.
Sites, in units of the cell vectors:
Sc (0.0000, 0.0000, 0.5000)  2 H 2.34
H (0.0000, 0.0000, 0.0000)  4 Nb 2.08
Nb (0.0000, 0.5000, 0.0000)  2 H 2.08
Nb (0.5000, 0.0000, 0.0000)  2 H 2.08
In (0.5000, 0.5000, 0.5000)  4 Sc 2.94, 8 Nb 3.13

As for the calculated total energy: -6.710 eV/atom. The value obtained for the calculated density is 7.13 g cm⁻³. The space-group type is P4/mmm (123). For the total magnetic moment, the calculation gives 0.00 μB per cell.